# 1
Density functional theory data (PBE-GGA) for a relaxed structure of Sc4CdPt7.

Cell and atoms, written as POSCAR:
```
Sc4CdPt7
1.0
4.996 0.000 0.000
2.498 8.393 -0.082
2.498 0.231 5.486
Sc Cd Pt
4 1 7
Direct
0.592 0.221 0.596 Sc
0.408 0.779 0.404 Sc
0.759 0.653 0.829 Sc
0.241 0.347 0.171 Sc
0.000 0.000 0.000 Cd
0.786 0.900 0.528 Pt
0.214 0.100 0.472 Pt
0.075 0.678 0.172 Pt
0.925 0.322 0.828 Pt
0.364 0.532 0.739 Pt
0.500 0.000 0.000 Pt
0.636 0.468 0.261 Pt
```

Summary:
E_form = -836 meV/atom
DFT total energy = -78.6 eV per cell

---

# 2
Density functional theory data (PBE-GGA) for a relaxed structure of NaLiMn3.

Cell and atoms, written as POSCAR:
```
NaLiMn3
1.0
-4.343 -1.813 -1.588
1.468 -4.585 1.221
-1.912 0.598 4.545
Na Mn Li
1 3 1
Direct
0.000 0.000 0.000 Na
0.000 0.500 0.000 Mn
0.000 0.000 0.500 Mn
0.500 0.000 0.000 Mn
0.500 0.500 0.500 Li
```

Summary:
Relative energy among the computed polymorphs = 505 meV/atom
E_form = 1597 meV/atom
DFT total energy = -22.8 eV per cell